[1]
A plane-wave DFT calculation with PBE was carried out for an optimized crystal structure of Hf2ZrNiAs4Pd3.

a = 6.5634 Å, b = 3.9133 Å, c = 7.6152 Å
α = 90.00°, β = 90.28°, γ = 90.00°
Sites, in units of the cell vectors:
As 0.2431 0.0000 0.1211
As 0.7522 0.0000 0.3883
As 0.2395 0.5000 0.6335
As 0.7867 0.5000 0.8589
Hf 0.4625 0.5000 0.3209
Hf 0.5342 0.0000 0.6925
Ni 0.8472 0.5000 0.5523
Pd 0.6472 0.0000 0.0642
Pd 0.1445 0.0000 0.4462
Pd 0.3758 0.5000 0.9403
Zr 0.9650 0.5000 0.1789

Properties
E_tot	-6.9908	eV/atom
crystal system	monoclinic

=====

[2]
A plane-wave DFT calculation with PBE was carried out for an optimized crystal structure of Hf2ZrNiAs4Pd3.

a = 6.6045 Å, b = 3.9058 Å, c = 7.5887 Å
α = 90.00°, β = 90.29°, γ = 90.00°
Sites, in units of the cell vectors:
As 0.7636 0.0000 0.0925
As 0.2504 0.0000 0.3768
As 0.7495 0.5000 0.6457
As 0.2285 0.5000 0.8802
Hf 0.0301 0.5000 0.1799
Hf 0.5425 0.5000 0.3155
Ni 0.6264 0.5000 0.9491
Pd 0.3701 0.0000 0.0645
Pd 0.8393 0.0000 0.4350
Pd 0.1350 0.5000 0.5631
Zr 0.4667 0.0000 0.6950

Properties
E_tot	-6.9919	eV/atom
crystal system	monoclinic

=====

[3]
A plane-wave DFT calculation with PBE was carried out for an optimized crystal structure of HfZr2Ni2As4Pd2.

a = 6.5488 Å, b = 3.8843 Å, c = 7.4660 Å
α = 90.00°, β = 90.25°, γ = 90.00°
Sites, in units of the cell vectors:
As 0.7545 0.0000 0.0957
As 0.2433 0.0000 0.3886
As 0.7661 0.5000 0.6481
As 0.2229 0.5000 0.8633
Hf 0.5374 0.5000 0.3202
Ni 0.1440 0.5000 0.5538
Ni 0.6231 0.5000 0.9482
Pd 0.3613 0.0000 0.0661
Pd 0.8477 0.0000 0.4418
Zr 0.0292 0.5000 0.1761
Zr 0.4725 0.0000 0.6953

Properties
E_tot	-6.9033	eV/atom
crystal system	monoclinic